First-principles (PBE with a Hubbard U) data for crystalline BaNaV2O6 at its relaxed geometry, as listed in Alexandria via LeMat-Bulk.

Calculated values
Symmetry = No. 15
VASP energy = -6.97 eV/atom

abc: 7.5225 7.5225 5.8275
angles: 100.04 100.04 87.20
Element x y z (fractional)
1 Ba 0.1874 0.8126 0.7500
2 Ba 0.8126 0.1874 0.2500
3 Na 0.4138 0.5862 0.2500
4 Na 0.5862 0.4138 0.7500
5 V 0.1261 0.3103 0.7863
6 V 0.3103 0.1261 0.2863
7 V 0.6897 0.8739 0.7137
8 V 0.8739 0.6897 0.2137
9 O 0.0925 0.6218 0.2985
10 O 0.1412 0.1721 0.0271
11 O 0.1721 0.1412 0.5271
12 O 0.2806 0.4791 0.8489
13 O 0.3782 0.9075 0.2015
14 O 0.4791 0.2806 0.3489
15 O 0.5209 0.7194 0.6511
16 O 0.6218 0.0925 0.7985
17 O 0.7194 0.5209 0.1511
18 O 0.8279 0.8588 0.4729
19 O 0.8588 0.8279 0.9729
20 O 0.9075 0.3782 0.7015